Ac3Ag5S12: relaxed, GGA-PBE.

The structure in CIF format:
```
data_Ac3Ag5S12
_chemical_formula_sum 'Ac12 Ag20 S48'
_symmetry_space_group_name_H-M 'P 1'
_symmetry_Int_Tables_number 1
_symmetry_space_group_name_Hall 'P 1'
_cell_length_a 13.753
_cell_length_b 13.753
_cell_length_c 13.753
_cell_angle_alpha 109.47
_cell_angle_beta 109.47
_cell_angle_gamma 109.47
loop_
_atom_site_label
_atom_site_fract_x
_atom_site_fract_y
_atom_site_fract_z
Ac1 0.750 0.375 0.125
Ac2 0.875 0.750 0.125
Ac3 0.375 0.750 0.625
Ac4 0.250 0.125 0.375
Ac5 0.875 0.125 0.250
Ac6 0.375 0.625 0.250
Ac7 0.625 0.375 0.750
Ac8 0.125 0.875 0.750
Ac9 0.750 0.875 0.625
Ac10 0.625 0.250 0.375
Ac11 0.125 0.250 0.875
Ac12 0.250 0.625 0.875
Ag1 0.125 0.375 0.250
Ag2 0.000 0.500 0.000
Ag3 0.000 0.000 0.000
Ag4 0.375 0.250 0.125
Ag5 0.500 0.000 0.500
Ag6 0.500 0.500 0.000
Ag7 0.125 0.750 0.375
Ag8 0.750 0.125 0.875
Ag9 0.750 0.625 0.375
Ag10 0.375 0.125 0.750
Ag11 0.625 0.875 0.250
Ag12 0.500 0.500 0.500
Ag13 0.500 0.000 0.000
Ag14 0.000 0.000 0.500
Ag15 0.250 0.375 0.625
Ag16 0.250 0.875 0.125
Ag17 0.000 0.500 0.500
Ag18 0.875 0.250 0.625
Ag19 0.625 0.750 0.875
Ag20 0.875 0.625 0.750
S1 0.703 0.122 0.033
S2 0.330 0.533 0.411
S3 0.967 0.378 0.297
S4 0.533 0.203 0.122
S5 0.581 0.703 0.670
S6 0.967 0.589 0.170
S7 0.330 0.797 0.419
S8 0.089 0.919 0.122
S9 0.589 0.967 0.670
S10 0.703 0.581 0.170
S11 0.797 0.467 0.378
S12 0.830 0.911 0.033
S13 0.122 0.703 0.533
S14 0.378 0.411 0.081
S15 0.081 0.911 0.378
S16 0.419 0.122 0.589
S17 0.081 0.170 0.203
S18 0.467 0.670 0.089
S19 0.830 0.919 0.297
S20 0.122 0.419 0.089
S21 0.378 0.967 0.797
S22 0.589 0.622 0.419
S23 0.911 0.830 0.533
S24 0.797 0.330 0.919
S25 0.411 0.378 0.581
S26 0.089 0.170 0.467
S27 0.203 0.670 0.081
S28 0.170 0.081 0.703
S29 0.622 0.033 0.203
S30 0.878 0.581 0.911
S31 0.533 0.330 0.911
S32 0.581 0.878 0.411
S33 0.919 0.830 0.797
S34 0.919 0.089 0.622
S35 0.878 0.297 0.467
S36 0.170 0.089 0.967
S37 0.622 0.589 0.919
S38 0.411 0.033 0.330
S39 0.297 0.419 0.830
S40 0.203 0.533 0.622
S41 0.911 0.081 0.878
S42 0.670 0.203 0.581
S43 0.467 0.797 0.878
S44 0.033 0.411 0.830
S45 0.419 0.297 0.330
S46 0.033 0.622 0.703
S47 0.670 0.467 0.589
S48 0.297 0.878 0.967
```

Summary:
energy: -4.3774 eV/atom
crystal system: cubic
uncorrected formation energy: -0.57 eV per atom


Ac3PrTh2Sb6: relaxed, GGA-PBE.

The structure in CIF format:
```
data_Ac3PrTh2Sb6
_chemical_formula_sum 'Ac3 Pr1 Th2 Sb6'
_symmetry_space_group_name_H-M 'P 1'
_symmetry_Int_Tables_number 1
_symmetry_space_group_name_Hall 'P 1'
_cell_length_a 8.045
_cell_length_b 8.045
_cell_length_c 8.089
_cell_angle_alpha 99.52
_cell_angle_beta 99.52
_cell_angle_gamma 120.04
loop_
_atom_site_label
_atom_site_fract_x
_atom_site_fract_y
_atom_site_fract_z
Ac1 0.165 0.835 0.500
Ac2 0.835 0.165 0.500
Ac3 0.500 0.500 0.500
Pr1 0.000 0.000 0.000
Th1 0.333 0.667 0.000
Th2 0.667 0.333 0.000
Sb1 0.922 0.585 0.766
Sb2 0.741 0.741 0.233
Sb3 0.078 0.415 0.234
Sb4 0.585 0.922 0.766
Sb5 0.259 0.259 0.767
Sb6 0.415 0.078 0.234
```

Summary:
energy: -5.8429 eV/atom
crystal system: monoclinic
uncorrected formation energy: -1.12 eV per atom


BrCl3: relaxed, GGA-PBE.

The structure in CIF format:
```
data_BrCl3
_chemical_formula_sum 'Br1 Cl3'
_symmetry_space_group_name_H-M 'P 1'
_symmetry_Int_Tables_number 1
_symmetry_space_group_name_Hall 'P 1'
_cell_length_a 5.055
_cell_length_b 5.055
_cell_length_c 5.055
_cell_angle_alpha 109.67
_cell_angle_beta 109.67
_cell_angle_gamma 109.67
loop_
_atom_site_label
_atom_site_fract_x
_atom_site_fract_y
_atom_site_fract_z
Br1 0.000 0.000 0.000
Cl1 0.500 0.000 0.500
Cl2 0.500 0.500 0.000
Cl3 0.000 0.500 0.500
```

Summary:
energy: -1.2182 eV/atom
crystal system: trigonal
uncorrected formation energy: 0.58 eV per atom


Sc2MoPRh: relaxed, GGA-PBE.

The structure in CIF format:
```
data_Sc2MoPRh
_chemical_formula_sum 'Sc2 Mo1 P1 Rh1'
_symmetry_space_group_name_H-M 'P 1'
_symmetry_Int_Tables_number 1
_symmetry_space_group_name_Hall 'P 1'
_cell_length_a 4.915
_cell_length_b 4.500
_cell_length_c 4.915
_cell_angle_alpha 90.00
_cell_angle_beta 90.00
_cell_angle_gamma 90.00
loop_
_atom_site_label
_atom_site_fract_x
_atom_site_fract_y
_atom_site_fract_z
Sc1 0.000 0.000 0.500
Sc2 0.500 0.000 0.000
P1 0.000 0.500 0.000
Mo1 0.000 0.000 0.000
Rh1 0.500 0.500 0.500
```

Summary:
energy of formation: 445 meV/atom
energy: -6.8059 eV/atom
crystal system: tetragonal


AcCeCd17: relaxed, GGA-PBE.

The structure in CIF format:
```
data_AcCeCd17
_chemical_formula_sum 'Ac1 Ce1 Cd17'
_symmetry_space_group_name_H-M 'P 1'
_symmetry_Int_Tables_number 1
_symmetry_space_group_name_Hall 'P 1'
_cell_length_a 7.722
_cell_length_b 7.722
_cell_length_c 7.722
_cell_angle_alpha 82.33
_cell_angle_beta 82.33
_cell_angle_gamma 82.33
loop_
_atom_site_label
_atom_site_fract_x
_atom_site_fract_y
_atom_site_fract_z
Ac1 0.665 0.665 0.665
Ce1 0.331 0.331 0.331
Cd1 0.296 0.002 0.700
Cd2 0.700 0.296 0.002
Cd3 0.002 0.700 0.296
Cd4 0.296 0.700 0.002
Cd5 0.002 0.296 0.700
Cd6 0.700 0.002 0.296
Cd7 0.351 0.857 0.351
Cd8 0.351 0.351 0.857
Cd9 0.857 0.351 0.351
Cd10 0.634 0.179 0.634
Cd11 0.634 0.634 0.179
Cd12 0.179 0.634 0.634
Cd13 0.991 0.510 0.991
Cd14 0.991 0.991 0.510
Cd15 0.510 0.991 0.991
Cd16 0.904 0.904 0.904
Cd17 0.104 0.104 0.104
```

Summary:
energy of formation: -155 meV/atom
energy: -1.5023 eV/atom
crystal system: trigonal


Li2NdAg: relaxed, GGA-PBE.

The structure in CIF format:
```
data_Li2NdAg
_chemical_formula_sum 'Li2 Nd1 Ag1'
_symmetry_space_group_name_H-M 'P 1'
_symmetry_Int_Tables_number 1
_symmetry_space_group_name_Hall 'P 1'
_cell_length_a 3.183
_cell_length_b 3.183
_cell_length_c 10.671
_cell_angle_alpha 81.42
_cell_angle_beta 81.42
_cell_angle_gamma 60.00
loop_
_atom_site_label
_atom_site_fract_x
_atom_site_fract_y
_atom_site_fract_z
Nd1 0.000 0.000 0.000
Ag1 0.500 0.500 0.500
Li1 0.100 0.100 0.700
Li2 0.900 0.900 0.300
```

Summary:
energy above the lowest structure with this stoichiometry: 0.218 eV/atom
energy of formation: 124 meV/atom
energy: -2.7373 eV/atom
crystal system: trigonal